Entry 1:
Density functional theory data (PBE) for a relaxed structure of CsAcMgS3.

```
data_CsAcMgS3
_cell_length_a 9.741
_cell_length_b 4.412
_cell_length_c 10.209
_cell_angle_alpha 90.00
_cell_angle_beta 105.45
_cell_angle_gamma 90.00
_symmetry_space_group_name_H-M 'P 1 21/m 1'
_symmetry_Int_Tables_number 11
loop_
_symmetry_equiv_pos_as_xyz
'x,y,z'
'-x,-y,-z'
'-x,y+1/2,-z'
'x,-y+1/2,z'
loop_
_atom_site_label
_atom_site_type_symbol
_atom_site_fract_x
_atom_site_fract_y
_atom_site_fract_z
_atom_site_occupancy
Cs1 Cs 0.191 0.250 0.218 1
Ac1 Ac 0.339 0.750 0.849 1
Mg1 Mg 0.081 0.250 0.604 1
S1 S 0.129 0.250 0.847 1
S2 S 0.170 0.750 0.536 1
S3 S 0.455 0.750 0.147 1
```

## Properties
As for the uncorrected formation energy: -1694 meV per atom. The calculation puts the calculated total energy at -4.850 eV/atom. The spin magnetization is 0.0 μB per cell.

---

Entry 2:
Density functional theory data (PBE) for a relaxed structure of ZnRe2Br.

```
data_ZnRe2Br
_cell_length_a 4.176
_cell_length_b 4.176
_cell_length_c 7.328
_cell_angle_alpha 90.00
_cell_angle_beta 90.00
_cell_angle_gamma 90.00
_symmetry_space_group_name_H-M 'I -4 m 2'
_symmetry_Int_Tables_number 119
_symmetry_space_group_name_Hall 'I -4 -2'
loop_
_atom_site_label
_atom_site_type_symbol
_atom_site_fract_x
_atom_site_fract_y
_atom_site_fract_z
_atom_site_occupancy
Zn1 Zn 0.000 0.000 0.000 1
Re1 Re 0.000 0.000 0.500 1
Re2 Re 0.000 0.500 0.250 1
Br1 Br 0.000 0.500 0.750 1
```

## Properties
As for the uncorrected formation energy: 1083 meV per atom. The calculation puts the calculated total energy at -5.878 eV/atom. The spin magnetization is 0.0 μB per cell. The value obtained for the energy above the most stable polymorph in this dataset is 0.814 eV per atom.